Here is a relaxed structure of Mg2NpSnAu4 from the Alexandria database. Energies are from GGA-PBE.

Output
- Raw total energy: -35.63 eV per formula unit
- Energy of formation: -0.298 eV/atom
- Spin magnetization: 4.12 μB per formula unit

Lattice parameters (Å, degrees): 4.6215 4.6215 9.5768 76.04 76.04 60.00
Atoms (fractional coordinates):
1 Au 0.6129 0.6129 0.1613
2 Au 0.1171 0.1171 0.6488
3 Au 0.8829 0.8829 0.3512
4 Au 0.3871 0.3871 0.8387
5 Mg 0.2454 0.2454 0.2638
6 Mg 0.7546 0.7546 0.7362
7 Sn 0.5000 0.5000 0.5000
8 Np 0.0000 0.0000 0.0000

***

Here is a relaxed structure of TiMo2W5 from the Alexandria database. Energies are from GGA-PBE.

Output
- Raw total energy: -95.02 eV per formula unit
- Energy of formation: -0.087 eV/atom
- Spin magnetization: 0.00 μB per formula unit

Lattice parameters (Å, degrees): 5.4906 5.4906 5.4906 109.47 109.47 109.48
Atoms (fractional coordinates):
1 W 0.2779 0.2779 0.0000
2 W 0.7779 0.2779 0.0000
3 W 0.2779 0.2779 0.5000
4 W 0.7779 0.7779 0.5000
5 W 0.2779 0.7779 0.0000
6 Mo 0.7779 0.2779 0.5000
7 Mo 0.2779 0.7778 0.5000
8 Ti 0.7779 0.7779 0.0000